Crystalline CeNdSbP at its relaxed geometry. Source: Alexandria via LeMat-Bulk, functional PBE.

Summary:
Its crystal system is trigonal. The calculation puts the formation energy from raw total energies at -1.295 eV per atom. For the total magnetization, the calculation gives 0.63 μB per formula unit. Its volume is 113.6 Å³/cell.

abc: 7.5635 7.5635 7.5635
angles: 32.89 32.89 32.89
Closest atoms and distances in Å follow each position.
Positions (direct):
Ce  0.0000  0.0000  0.0000  3 P 2.93, 3 Sb 3.13
Nd  0.5164  0.5164  0.5164  3 P 2.98, 3 Sb 3.18
Sb  0.7565  0.7565  0.7565  3 Ce 3.13, 3 Nd 3.18
P  0.2602  0.2602  0.2602  3 Ce 2.93, 3 Nd 2.98